*a*
Material: PrS
Method: DFT, PBE-GGA
State: optimized geometry

Summary:
The value obtained for the volume is 24.41 Å³/atom. The calculated density is 5.9 g cm⁻³. Its crystal system is cubic.

a = 5.802 Å, b = 5.802 Å, c = 5.802 Å
α = 90.00°, β = 90.00°, γ = 90.00°
Space group Fm-3m (No. 225)
Symmetry-distinct sites (fractional):
Pr  0.000  0.000  0.000 [4 per cell]
S  0.000  0.000  0.500 [4 per cell]



*b*
Material: PrS
Method: DFT, PBE-GGA
State: optimized geometry

Summary:
The value obtained for the volume is 33.00 Å³/atom. The calculated density is 4.4 g cm⁻³. Its crystal system is cubic.

a = 6.415 Å, b = 6.415 Å, c = 6.415 Å
α = 90.00°, β = 90.00°, γ = 90.00°
Space group F-43m (No. 216)
Symmetry-distinct sites (fractional):
Pr  0.000  0.000  0.000 [4 per cell]
S  0.250  0.250  0.750 [4 per cell]



So which one is most stable? That would be *a*, about 45.8 kJ/mol of atoms below the next structure.



*a*
Material: PrTmS2
Method: DFT, PBE-GGA
State: optimized geometry

Summary:
The value obtained for the volume is 22.32 Å³/atom. The calculated density is 7.0 g cm⁻³. Its crystal system is tetragonal.

a = 3.982 Å, b = 3.982 Å, c = 5.631 Å
α = 90.00°, β = 90.00°, γ = 90.00°
Space group P4/mmm (No. 123)
Symmetry-distinct sites (fractional):
Pr  0.000  0.000  0.000 [1 per cell]
Tm  0.500  0.500  0.500 [1 per cell]
S  0.000  0.000  0.500 [1 per cell]
S  0.500  0.500  0.000 [1 per cell]



*b*
Material: PrTmS2
Method: DFT, PBE-GGA
State: optimized geometry

Summary:
The value obtained for the volume is 22.15 Å³/atom. The calculated density is 7.0 g cm⁻³. Its crystal system is monoclinic.

a = 6.771 Å, b = 3.916 Å, c = 7.057 Å
α = 90.00°, β = 108.72°, γ = 90.00°
Space group C2/m (No. 12)
Symmetry-distinct sites (fractional):
Pr  0.000  0.000  0.000 [2 per cell]
Tm  0.000  0.500  0.500 [2 per cell]
S  0.241  0.000  0.724 [4 per cell]



So which one is most stable? That would be *b*, about 7.2 kJ/mol of atoms below the next structure.



*a*
Material: PrSiSb
Method: DFT, PBE-GGA
State: optimized geometry

Summary:
The value obtained for the volume is 31.19 Å³/atom. The calculated density is 5.2 g cm⁻³. Its crystal system is cubic.

a = 7.206 Å, b = 7.206 Å, c = 7.206 Å
α = 90.00°, β = 90.00°, γ = 90.00°
Space group F-43m (No. 216)
Symmetry-distinct sites (fractional):
Pr  0.000  0.000  0.000 [4 per cell]
Si  0.250  0.250  0.250 [4 per cell]
Sb  0.250  0.250  0.750 [4 per cell]



*b*
Material: PrSiSb
Method: DFT, PBE-GGA
State: optimized geometry

Summary:
The value obtained for the volume is 28.57 Å³/atom. The calculated density is 5.6 g cm⁻³. Its crystal system is cubic.

a = 6.999 Å, b = 6.999 Å, c = 6.999 Å
α = 90.00°, β = 90.00°, γ = 90.00°
Space group F-43m (No. 216)
Symmetry-distinct sites (fractional):
Pr  0.000  0.000  0.000 [4 per cell]
Si  0.250  0.250  0.250 [4 per cell]
Sb  0.000  0.000  0.500 [4 per cell]



So which one is most stable? That would be *b*, about 22.2 kJ/mol of atoms below the next structure.



*a*
Material: PrSc
Method: DFT, PBE-GGA
State: optimized geometry

Summary:
The value obtained for the volume is 30.81 Å³/atom. The calculated density is 5.0 g cm⁻³. Its crystal system is cubic.

a = 6.270 Å, b = 6.270 Å, c = 6.270 Å
α = 90.00°, β = 90.00°, γ = 90.00°
Space group Fm-3m (No. 225)
Symmetry-distinct sites (fractional):
Pr  0.000  0.000  0.000 [4 per cell]
Sc  0.000  0.000  0.500 [4 per cell]



*b*
Material: PrSc
Method: DFT, PBE-GGA
State: optimized geometry

Summary:
The value obtained for the volume is 32.01 Å³/atom. The calculated density is 4.8 g cm⁻³. Its crystal system is hexagonal.

a = 4.5999 Å, b = 4.5999 Å, c = 6.9870 Å
α = 90.00°, β = 90.00°, γ = 120.00°
Space group P6_3/mmc (No. 194)
Symmetry-distinct sites (fractional):
Pr  0.0000  0.0000  0.0000 [2 per cell]
Sc  0.3333  0.6667  0.2500 [2 per cell]



So which one is most stable? That would be *a*, about 9.2 kJ/mol of atoms below the next structure.



*a*
Material: PrSc
Method: DFT, PBE-GGA
State: optimized geometry

Summary:
The value obtained for the volume is 29.85 Å³/atom. The calculated density is 5.2 g cm⁻³. Its crystal system is hexagonal.

a = 4.2356 Å, b = 4.2356 Å, c = 7.6850 Å
α = 90.00°, β = 90.00°, γ = 120.00°
Space group P6_3/mmc (No. 194)
Symmetry-distinct sites (fractional):
Pr  0.3333  0.6667  0.2500 [2 per cell]
Sc  0.0000  0.0000  0.0000 [2 per cell]



*b*
Material: PrSc
Method: DFT, PBE-GGA
State: optimized geometry

Summary:
The value obtained for the volume is 35.34 Å³/atom. The calculated density is 4.4 g cm⁻³. Its crystal system is cubic.

a = 6.563 Å, b = 6.563 Å, c = 6.563 Å
α = 90.00°, β = 90.00°, γ = 90.00°
Space group F-43m (No. 216)
Symmetry-distinct sites (fractional):
Pr  0.000  0.000  0.000 [4 per cell]
Sc  0.250  0.250  0.750 [4 per cell]



*c*
Material: PrSc
Method: DFT, PBE-GGA
State: optimized geometry

Summary:
The value obtained for the volume is 29.64 Å³/atom. The calculated density is 5.2 g cm⁻³. Its crystal system is hexagonal.

a = 3.5038 Å, b = 3.5038 Å, c = 5.5757 Å
α = 90.00°, β = 90.00°, γ = 120.00°
Space group P-6m2 (No. 187)
Symmetry-distinct sites (fractional):
Pr  0.0000  0.0000  0.0000 [1 per cell]
Sc  0.6667  0.3333  0.5000 [1 per cell]



So which one is most stable? That would be *c*, about 40.8 kJ/mol of atoms below the next structure.



*a*
Material: PrSc2
Method: DFT, PBE-GGA
State: optimized geometry

Summary:
The value obtained for the volume is 28.61 Å³/atom. The calculated density is 4.5 g cm⁻³. Its crystal system is tetragonal.

a = 4.590 Å, b = 4.590 Å, c = 8.146 Å
α = 90.00°, β = 90.00°, γ = 90.00°
Space group P4/nmm (No. 129, origin choice 2)
Symmetry-distinct sites (fractional):
Pr  0.250  0.250  0.179 [2 per cell]
Sc  0.250  0.250  0.776 [2 per cell]
Sc  0.250  0.750  0.500 [2 per cell]



*b*
Material: PrSc2
Method: DFT, PBE-GGA
State: optimized geometry

Summary:
The value obtained for the volume is 68.78 Å³/atom. The calculated density is 1.9 g cm⁻³. Its crystal system is cubic.

a = 11.818 Å, b = 11.818 Å, c = 11.818 Å
α = 90.00°, β = 90.00°, γ = 90.00°
Space group Fd-3m (No. 227, origin choice 2)
Symmetry-distinct sites (fractional):
Pr  0.125  0.125  0.125 [8 per cell]
Sc  0.000  0.000  0.000 [16 per cell]



So which one is most stable? That would be *a*, about 223.9 kJ/mol of atoms below the next structure.



*a*
Material: PrScTe
Method: DFT, PBE-GGA
State: optimized geometry

Summary:
The value obtained for the volume is 34.03 Å³/atom. The calculated density is 5.1 g cm⁻³. Its crystal system is cubic.

a = 7.419 Å, b = 7.419 Å, c = 7.419 Å
α = 90.00°, β = 90.00°, γ = 90.00°
Space group F-43m (No. 216)
Symmetry-distinct sites (fractional):
Pr  0.000  0.000  0.000 [4 per cell]
Sc  0.250  0.250  0.750 [4 per cell]
Te  0.250  0.250  0.250 [4 per cell]



*b*
Material: PrScTe
Method: DFT, PBE-GGA
State: optimized geometry

Summary:
The value obtained for the volume is 30.33 Å³/atom. The calculated density is 5.7 g cm⁻³. Its crystal system is cubic.

a = 7.140 Å, b = 7.140 Å, c = 7.140 Å
α = 90.00°, β = 90.00°, γ = 90.00°
Space group F-43m (No. 216)
Symmetry-distinct sites (fractional):
Pr  0.000  0.000  0.000 [4 per cell]
Sc  0.000  0.000  0.500 [4 per cell]
Te  0.250  0.250  0.250 [4 per cell]



So which one is most stable? That would be *b*, about 59.2 kJ/mol of atoms below the next structure.



*a*
Material: PrScZn
Method: DFT, PBE-GGA
State: optimized geometry

Summary:
The value obtained for the volume is 27.79 Å³/atom. The calculated density is 5.0 g cm⁻³. Its crystal system is cubic.

a = 6.935 Å, b = 6.935 Å, c = 6.935 Å
α = 90.00°, β = 90.00°, γ = 90.00°
Space group F-43m (No. 216)
Symmetry-distinct sites (fractional):
Pr  0.000  0.000  0.000 [4 per cell]
Sc  0.250  0.250  0.750 [4 per cell]
Zn  0.250  0.250  0.250 [4 per cell]



*b*
Material: PrScZn
Method: DFT, PBE-GGA
State: optimized geometry

Summary:
The value obtained for the volume is 27.59 Å³/atom. The calculated density is 5.0 g cm⁻³. Its crystal system is cubic.

a = 6.918 Å, b = 6.918 Å, c = 6.918 Å
α = 90.00°, β = 90.00°, γ = 90.00°
Space group F-43m (No. 216)
Symmetry-distinct sites (fractional):
Pr  0.000  0.000  0.000 [4 per cell]
Sc  0.000  0.000  0.500 [4 per cell]
Zn  0.250  0.250  0.250 [4 per cell]



So which one is most stable? That would be *b*, about 51.0 kJ/mol of atoms below the next structure.



*a*
Material: PrTlZnSe3
Method: DFT, PBE-GGA
State: optimized geometry

Summary:
The value obtained for the volume is 28.28 Å³/atom. The calculated density is 6.3 g cm⁻³. Its crystal system is monoclinic.

a = 17.616 Å, b = 4.346 Å, c = 9.291 Å
α = 90.00°, β = 107.39°, γ = 90.00°
Space group C2/m (No. 12)
Symmetry-distinct sites (fractional):
Pr  0.177  0.000  0.115 [4 per cell]
Tl  0.134  0.000  0.577 [4 per cell]
Zn  0.005  0.500  0.213 [4 per cell]
Se  0.000  0.000  0.000 [2 per cell]
Se  0.000  0.500  0.500 [2 per cell]
Se  0.153  0.500  0.879 [4 per cell]
Se  0.155  0.500  0.313 [4 per cell]



*b*
Material: PrTlZnSe3
Method: DFT, PBE-GGA
State: optimized geometry

Summary:
The value obtained for the volume is 29.51 Å³/atom. The calculated density is 6.1 g cm⁻³. Its crystal system is orthorhombic.

a = 11.400 Å, b = 4.239 Å, c = 14.656 Å
α = 90.00°, β = 90.00°, γ = 90.00°
Space group Pnma (No. 62)
Symmetry-distinct sites (fractional):
Pr  0.013  0.250  0.237 [4 per cell]
Tl  0.214  0.750  0.502 [4 per cell]
Zn  0.237  0.250  0.716 [4 per cell]
Se  0.052  0.250  0.628 [4 per cell]
Se  0.095  0.750  0.110 [4 per cell]
Se  0.242  0.750  0.818 [4 per cell]



So which one is most stable? That would be *b*, about 14.6 kJ/mol of atoms below the next structure.



*a*
Material: PrTlZnSe3
Method: DFT, PBE-GGA
State: optimized geometry

Summary:
The value obtained for the volume is 29.66 Å³/atom. The calculated density is 6.0 g cm⁻³. Its crystal system is orthorhombic.

a = 4.230 Å, b = 14.796 Å, c = 11.373 Å
α = 90.00°, β = 90.00°, γ = 90.00°
Space group Cmcm (No. 63)
Symmetry-distinct sites (fractional):
Pr  0.000  0.000  0.000 [4 per cell]
Tl  0.000  0.247  0.250 [4 per cell]
Zn  0.000  0.464  0.750 [4 per cell]
Se  0.000  0.067  0.750 [4 per cell]
Se  0.000  0.369  0.572 [8 per cell]



*b*
Material: PrTlZnSe3
Method: DFT, PBE-GGA
State: optimized geometry

Summary:
The value obtained for the volume is 30.38 Å³/atom. The calculated density is 5.9 g cm⁻³. Its crystal system is monoclinic.

a = 8.463 Å, b = 4.224 Å, c = 10.658 Å
α = 90.00°, β = 106.90°, γ = 90.00°
Space group P2_1/m (No. 11)
Symmetry-distinct sites (fractional):
Pr  0.200  0.250  0.135 [2 per cell]
Tl  0.229  0.750  0.707 [2 per cell]
Zn  0.427  0.750  0.392 [2 per cell]
Se  0.044  0.250  0.851 [2 per cell]
Se  0.285  0.250  0.442 [2 per cell]
Se  0.456  0.750  0.168 [2 per cell]



So which one is most stable? That would be *a*, about 1.9 kJ/mol of atoms below the next structure.



*a*
Material: PrTlZnSe3
Method: DFT, PBE-GGA
State: optimized geometry

Summary:
The value obtained for the volume is 30.31 Å³/atom. The calculated density is 5.9 g cm⁻³. Its crystal system is orthorhombic.

a = 14.944 Å, b = 4.237 Å, c = 11.487 Å
α = 90.00°, β = 90.00°, γ = 90.00°
Space group Pnma (No. 62)
Symmetry-distinct sites (fractional):
Pr  0.026  0.250  0.159 [4 per cell]
Tl  0.240  0.250  0.463 [4 per cell]
Zn  0.018  0.750  0.403 [4 per cell]
Se  0.079  0.750  0.609 [4 per cell]
Se  0.100  0.250  0.922 [4 per cell]
Se  0.142  0.750  0.261 [4 per cell]



*b*
Material: PrTlZnSe3
Method: DFT, PBE-GGA
State: optimized geometry

Summary:
The value obtained for the volume is 26.83 Å³/atom. The calculated density is 6.7 g cm⁻³. Its crystal system is orthorhombic.

a = 8.704 Å, b = 4.430 Å, c = 16.697 Å
α = 90.00°, β = 90.00°, γ = 90.00°
Space group Pnma (No. 62)
Symmetry-distinct sites (fractional):
Pr  0.249  0.250  0.048 [4 per cell]
Tl  0.071  0.250  0.788 [4 per cell]
Zn  0.140  0.250  0.361 [4 per cell]
Se  0.005  0.750  0.409 [4 per cell]
Se  0.129  0.750  0.949 [4 per cell]
Se  0.195  0.250  0.218 [4 per cell]



So which one is most stable? That would be *a*, about 6.6 kJ/mol of atoms below the next structure.



*a*
Material: PrZn2Si2
Method: DFT, PBE-GGA
State: optimized geometry

Summary:
The value obtained for the volume is 18.62 Å³/atom. The calculated density is 5.8 g cm⁻³. Its crystal system is tetragonal.

a = 4.327 Å, b = 4.327 Å, c = 9.943 Å
α = 90.00°, β = 90.00°, γ = 90.00°
Space group I4/mmm (No. 139)
Symmetry-distinct sites (fractional):
Pr  0.000  0.000  0.000 [2 per cell]
Zn  0.000  0.000  0.378 [4 per cell]
Si  0.000  0.500  0.250 [4 per cell]



*b*
Material: PrZn2Si2
Method: DFT, PBE-GGA
State: optimized geometry

Summary:
The value obtained for the volume is 18.45 Å³/atom. The calculated density is 5.9 g cm⁻³. Its crystal system is tetragonal.

a = 4.134 Å, b = 4.134 Å, c = 10.798 Å
α = 90.00°, β = 90.00°, γ = 90.00°
Space group I4/mmm (No. 139)
Symmetry-distinct sites (fractional):
Pr  0.000  0.000  0.000 [2 per cell]
Zn  0.000  0.500  0.250 [4 per cell]
Si  0.000  0.000  0.388 [4 per cell]



So which one is most stable? That would be *b*, about 9.0 kJ/mol of atoms below the next structure.